[1]
# GGA-PBE LiAcGePd2, optimized geometry
# Calculated formation energy in meV per atom: -727
data_LiAcGePd2
_chemical_formula_sum 'Li2 Ac2 Ge2 Pd4'
_symmetry_space_group_name_H-M 'I -4 m 2'
_symmetry_Int_Tables_number 119
_symmetry_space_group_name_Hall 'I -4 -2'
_cell_length_a 4.2760
_cell_length_b 4.2760
_cell_length_c 11.1785
_cell_angle_alpha 90.00
_cell_angle_beta 90.00
_cell_angle_gamma 90.00
loop_
_atom_site_label
_atom_site_type_symbol
_atom_site_fract_x
_atom_site_fract_y
_atom_site_fract_z
Li1 Li 0.0000 0.0000 0.0000
Ac1 Ac 0.0000 0.5000 0.7500
Ge1 Ge 0.0000 0.0000 0.5000
Pd1 Pd 0.0000 0.5000 0.1264

[2]
# GGA-PBE Cr2HgBr, optimized geometry
# Uncorrected formation energy in kJ per mole of atoms: 48
# Energy above the most stable polymorph in this dataset in meV per atom: 237
data_Cr2HgBr
_chemical_formula_sum 'Cr4 Hg2 Br2'
_symmetry_space_group_name_H-M 'I m m 2'
_symmetry_Int_Tables_number 44
_cell_length_a 3.3695
_cell_length_b 4.2546
_cell_length_c 12.6998
_cell_angle_alpha 90.00
_cell_angle_beta 90.00
_cell_angle_gamma 90.00
loop_
_symmetry_equiv_pos_as_xyz
'x,y,z'
'-x,-y,z'
'-x,y,z'
'x,-y,z'
'x+1/2,y+1/2,z+1/2'
'-x+1/2,-y+1/2,z+1/2'
'-x+1/2,y+1/2,z+1/2'
'x+1/2,-y+1/2,z+1/2'
loop_
_atom_site_label
_atom_site_type_symbol
_atom_site_fract_x
_atom_site_fract_y
_atom_site_fract_z
Cr1 Cr 0.0000 0.0000 0.0000
Cr2 Cr 0.0000 0.5000 0.2858
Hg1 Hg 0.0000 0.5000 0.8520
Br1 Br 0.0000 0.0000 0.6118